(1)
DFT (PBE) results for a relaxed Cu2I3Br8 crystal.

Output
Its uncorrected formation energy is -96 meV per atom.

a = 9.6101 Å, b = 8.7526 Å, c = 27.1013 Å
α = 127.80°, β = 90.00°, γ = 123.30°
Element x y z (fractional)
Cu 0.8295 0.2103 0.0731
Cu 0.3808 0.2103 0.5731
Cu 0.6192 0.7897 0.4269
Cu 0.1705 0.7897 0.9269
Br 0.7831 0.8510 0.9797
Br 0.1227 0.6475 0.1452
Br 0.3001 0.0389 0.8433
Br 0.9322 0.1490 0.5203
Br 0.4052 0.8053 0.3924
Br 0.0678 0.8510 0.4797
Br 0.4752 0.3525 0.3548
Br 0.7388 0.0389 0.3433
Br 0.4002 0.8053 0.8924
Br 0.5998 0.1947 0.1076
Br 0.5248 0.6475 0.6452
Br 0.6999 0.9611 0.1567
Br 0.2612 0.9611 0.6567
Br 0.8773 0.3525 0.8548
Br 0.5948 0.1947 0.6076
Br 0.2169 0.1490 0.0203
I 0.0803 0.0000 0.2500
I 0.0581 0.3994 0.3654
I 0.6587 0.6006 0.1346
I 0.9419 0.6006 0.6346
I 0.9197 0.0000 0.7500
I 0.3413 0.3994 0.8654

(2)
DFT (PBE) results for a relaxed ZrCrNi crystal.

Output
The calculation puts the formation energy at 0.084 eV/atom.

a = 5.4360 Å, b = 5.4360 Å, c = 5.4360 Å
α = 147.48°, β = 147.48°, γ = 46.66°
Last column: magnetic moment on the atom in μB.
Element x y z (fractional)
Ni 0.3594 0.3594 0.0000  0.21
Zr 0.6645 0.6645 0.0000  -0.28
Cr 0.9761 0.9761 0.0000  1.84

(3)
DFT (PBE) results for a relaxed La3Tb6Ho2 crystal.

Output
The calculation puts the formation energy at 0.019 eV/atom.

a = 3.6073 Å, b = 3.6073 Å, c = 32.2806 Å
α = 86.80°, β = 86.80°, γ = 60.00°
Element x y z (fractional)
Tb 0.9075 0.9075 0.2776
Tb 0.6359 0.6359 0.0922
Tb 0.0925 0.0925 0.7224
Tb 0.3641 0.3641 0.9078
Tb 0.1816 0.1816 0.4551
Tb 0.8184 0.8184 0.5449
Ho 0.4554 0.4554 0.6337
Ho 0.5446 0.5446 0.3663
La 0.0000 0.0000 0.0000
La 0.7282 0.7282 0.8155
La 0.2718 0.2718 0.1845

no.,final energy (eV per atom)
1,-2.1133
2,-7.9008
3,-4.6826